{
  "formula": "ZnPOF2",
  "functional": "GGA-PBE",
  "state": "optimized geometry",
  "cell": [[-1.100, -1.997, 3.754], [-3.476, -1.811, -1.981], [1.937, -2.743, -0.891]],
  "species": ["Zn", "O", "P", "F", "F"],
  "frac_coords": [[0.500, 0.500, 0.500], [0.000, 0.000, 0.500], [0.000, 0.000, 0.000], [0.000, 0.500, 0.000], [0.500, 0.000, 0.000]],
  "relative_energy_mev_per_atom": 0
}


{
  "formula": "Fe3Pt",
  "functional": "GGA-PBE",
  "state": "optimized geometry",
  "cell": [[-1.249, 0.463, 2.249], [3.352, -1.100, 2.089], [1.075, 4.810, 0.807]],
  "species": ["Fe", "Fe", "Fe", "Pt"],
  "frac_coords": [[0.031, 0.000, 0.015], [0.250, 0.500, 0.250], [0.469, 0.000, 0.485], [0.750, 0.500, 0.750]],
  "delta_e_f_mev_per_atom": -67
}


{
  "formula": "RbErTl",
  "functional": "GGA-PBE",
  "state": "optimized geometry",
  "cell": [[-0.893, 3.242, 1.051], [-7.061, -1.191, -8.231], [-8.069, -2.417, 0.599]],
  "species": ["Tl", "Tl", "Rb", "Rb", "Er", "Er"],
  "frac_coords": [[0.097, 0.193, 0.827], [0.903, 0.807, 0.173], [0.295, 0.591, 0.691], [0.705, 0.409, 0.309], [0.019, 0.038, 0.281], [0.981, 0.962, 0.719]],
  "delta_e_f_mev_per_atom": 314
}


{
  "formula": "Ho4Er3Sc3",
  "functional": "GGA-PBE",
  "state": "optimized geometry",
  "cell": [[3.602, 0.000, 0.000], [0.000, 8.982, -0.075], [0.000, 0.004, 8.983]],
  "species": ["Sc", "Sc", "Sc", "Er", "Er", "Er", "Ho", "Ho", "Ho", "Ho"],
  "frac_coords": [[0.500, 0.670, 0.667], [0.500, 0.333, 0.330], [0.500, 0.830, 0.170], [0.000, 0.501, 0.001], [0.500, 0.169, 0.831], [0.000, 0.999, 0.499], [0.000, 0.126, 0.136], [0.000, 0.864, 0.874], [0.000, 0.631, 0.369], [0.000, 0.376, 0.624]],
  "delta_e_f_mev_per_atom": 89
}


{
  "formula": "InCo2Bi",
  "functional": "GGA-PBE",
  "state": "optimized geometry",
  "cell": [[-3.143, -0.890, 3.216], [-4.438, -0.213, -1.129], [-2.179, -4.033, 0.022]],
  "species": ["Co", "Co", "In", "Bi"],
  "frac_coords": [[0.750, 0.750, 0.750], [0.250, 0.250, 0.250], [0.000, 0.000, 0.000], [0.500, 0.500, 0.500]],
  "delta_e_f_mev_per_atom": 392,
  "relative_energy_mev_per_atom": 0
}


{
  "formula": "CaSbTe2Cl",
  "functional": "GGA-PBE",
  "state": "optimized geometry",
  "cell": [[-1.999, -4.392, 2.908], [3.117, 1.521, 4.440], [-3.860, 2.895, 1.718]],
  "species": ["Te", "Te", "Cl", "Ca", "Sb"],
  "frac_coords": [[0.500, 0.000, 0.000], [0.000, 0.500, 0.000], [0.000, 0.000, 0.000], [0.500, 0.500, 0.500], [0.000, 0.000, 0.500]],
  "relative_energy_mev_per_atom": 0
}


{
  "formula": "La2TeAs2",
  "functional": "GGA-PBE",
  "state": "optimized geometry",
  "cell": [[5.703, 0.000, 0.000], [0.000, 5.703, 0.000], [2.851, 2.851, 4.651]],
  "species": ["As", "As", "Te", "La", "La"],
  "frac_coords": [[0.633, 0.633, 0.734], [0.367, 0.367, 0.266], [0.000, 0.000, 0.000], [0.250, 0.750, 0.500], [0.750, 0.250, 0.500]],
  "relative_energy_mev_per_atom": 20
}


{
  "formula": "NpTl3V2S6",
  "functional": "GGA-PBE",
  "state": "optimized geometry",
  "cell": [[-1.296, -5.863, -2.241], [4.314, 3.690, -2.975], [4.473, -2.154, 6.166]],
  "species": ["S", "S", "S", "S", "S", "S", "Tl", "Tl", "Tl", "V", "V", "Np"],
  "frac_coords": [[0.299, 0.299, 0.822], [0.937, 0.578, 0.817], [0.422, 0.063, 0.183], [0.578, 0.937, 0.817], [0.701, 0.701, 0.178], [0.063, 0.422, 0.183], [0.840, 0.160, 0.500], [0.160, 0.840, 0.500], [0.500, 0.500, 0.500], [0.667, 0.333, 0.000], [0.333, 0.667, 0.000], [0.000, 0.000, 0.000]],
  "dft_energy_ev_per_atom": -6.06
}


{
  "formula": "LaF",
  "functional": "GGA-PBE",
  "state": "optimized geometry",
  "cell": [[-3.996, -0.245, 5.781], [-5.709, -0.981, -3.988], [0.946, -6.959, 0.359]],
  "species": ["La", "La", "La", "La", "La", "La", "F", "F", "F", "F", "F", "F"],
  "frac_coords": [[0.000, 0.500, 0.750], [0.500, 0.250, 0.000], [0.000, 0.500, 0.250], [0.250, 0.000, 0.500], [0.500, 0.750, 0.000], [0.750, 0.000, 0.500], [0.500, 0.000, 0.750], [0.500, 0.000, 0.250], [0.000, 0.750, 0.500], [0.750, 0.500, 0.000], [0.000, 0.250, 0.500], [0.250, 0.500, 0.000]],
  "relative_energy_mev_per_atom": 471
}


| no. | V (Å³ per cell) | calculated density (g/cm3) |
| --- | --- | --- |
| 1 | 67 | 3.726 |
| 2 | 52 | 11.499 |
| 3 | 255 | 5.947 |
| 4 | 291 | 7.406 |
| 5 | 68 | 10.767 |
| 6 | 163 | 4.621 |
| 7 | 151 | 6.096 |
| 8 | 271 | 7.023 |
| 9 | 348 | 4.524 |